No. 1
An optimized crystal structure of Rb3ReH6, computed with PBE.

abc: 6.260 6.260 6.275
angles: 119.82 119.82 60.16
Fractional positions:
1 Rb 0.000 0.000 0.000
2 Rb 0.250 0.250 0.751
3 Rb 0.750 0.750 0.249
4 Re 0.500 0.500 0.500
5 H 0.297 0.699 0.297
6 H 0.299 0.299 0.293
7 H 0.301 0.703 0.703
8 H 0.699 0.297 0.297
9 H 0.701 0.701 0.707
10 H 0.703 0.301 0.703

Energy: -35.81 eV/cell

=====

No. 2
An optimized crystal structure of RbReH3, computed with PBE.

abc: 4.131 4.131 4.131
angles: 90.00 90.00 90.00
Fractional positions:
1 Rb 0.000 0.000 0.000
2 Re 0.500 0.500 0.500
3 H 0.000 0.000 0.500
4 H 0.000 0.500 0.000
5 H 0.500 0.000 0.000

Energy above the most stable polymorph in this dataset: 1879 meV per atom

=====

No. 3
An optimized crystal structure of Rb3ReH7, computed with PBE.

abc: 6.164 6.164 6.257
angles: 117.68 117.68 93.10
Fractional positions:
1 Rb 0.000 0.000 0.000
2 Rb 0.238 0.736 0.497
3 Rb 0.736 0.238 0.497
4 Re 0.489 0.489 0.001
5 H 0.208 0.429 0.990
6 H 0.262 0.262 0.624
7 H 0.362 0.738 0.012
8 H 0.429 0.208 0.990
9 H 0.619 0.619 0.873
10 H 0.636 0.636 0.378
11 H 0.738 0.362 0.012

Energy: -40.42 eV/cell

=====

No. 4
An optimized crystal structure of Rb3ReH, computed with PBE.

abc: 5.673 5.673 5.673
angles: 90.00 90.00 90.00
Fractional positions:
1 Rb 0.000 0.000 0.500
2 Rb 0.000 0.500 0.000
3 Rb 0.500 0.000 0.000
4 Re 0.500 0.500 0.500
5 H 0.000 0.000 0.000

Energy above the most stable polymorph in this dataset: 0 meV per atom

=====

No. 5
An optimized crystal structure of RbReH, computed with PBE.

abc: 4.209 4.211 10.707
angles: 99.39 92.16 116.41
Fractional positions:
1 Rb 0.000 0.000 0.000
2 Rb 0.195 0.316 0.555
3 Re 0.421 0.818 0.272
4 Re 0.762 0.486 0.282
5 H 0.146 0.732 0.405
6 H 0.554 0.090 0.149

Energy above the most stable polymorph in this dataset: 129 meV per atom

=====

No. 6
An optimized crystal structure of RbRe3H, computed with PBE.

abc: 4.224 4.224 4.224
angles: 90.00 90.00 90.00
Fractional positions:
1 Rb 0.000 0.000 0.000
2 Re 0.000 0.500 0.500
3 Re 0.500 0.000 0.500
4 Re 0.500 0.500 0.000
5 H 0.500 0.500 0.500

Energy above the most stable polymorph in this dataset: 0 meV per atom

=====

No. 7
An optimized crystal structure of Rb2ReH, computed with PBE.

abc: 8.358 8.358 8.358
angles: 90.00 90.00 90.00
Fractional positions:
1 Rb 0.250 0.250 0.250
2 Rb 0.250 0.250 0.750
3 Rb 0.250 0.750 0.250
4 Rb 0.250 0.750 0.750
5 Rb 0.750 0.250 0.250
6 Rb 0.750 0.250 0.750
7 Rb 0.750 0.750 0.250
8 Rb 0.750 0.750 0.750
9 Re 0.000 0.000 0.000
10 Re 0.000 0.500 0.500
11 Re 0.500 0.000 0.500
12 Re 0.500 0.500 0.000
13 H 0.000 0.000 0.500
14 H 0.000 0.500 0.000
15 H 0.500 0.000 0.000
16 H 0.500 0.500 0.500

Energy above the most stable polymorph in this dataset: 524 meV per atom

=====

No. 8
An optimized crystal structure of RbReH, computed with PBE.

abc: 3.247 3.249 11.871
angles: 88.43 83.30 90.00
Fractional positions:
1 Rb 0.121 0.220 0.302
2 Rb 0.879 0.780 0.698
3 Re 0.272 0.255 0.950
4 Re 0.728 0.745 0.050
5 H 0.335 0.270 0.802
6 H 0.665 0.730 0.198

Energy above the most stable polymorph in this dataset: 0 meV per atom

=====

No. 9
An optimized crystal structure of RbRe3H, computed with PBE.

abc: 4.742 4.742 4.742
angles: 90.00 90.00 90.00
Fractional positions:
1 Rb 0.000 0.000 0.000
2 Re 0.000 0.000 0.500
3 Re 0.000 0.500 0.000
4 Re 0.500 0.000 0.000
5 H 0.500 0.500 0.500

Energy above the most stable polymorph in this dataset: 2804 meV per atom

=====

No. 10
An optimized crystal structure of RbReH, computed with PBE.

abc: 3.839 4.235 10.895
angles: 89.24 89.15 67.11
Fractional positions:
1 Rb 0.000 0.000 0.000
2 Rb 0.303 0.373 0.426
3 Re 0.291 0.406 0.738
4 Re 0.629 0.763 0.696
5 H 0.505 0.025 0.839
6 H 0.640 0.757 0.538

Energy above the most stable polymorph in this dataset: 114 meV per atom

=====

No. 11
An optimized crystal structure of RbRe2H, computed with PBE.

abc: 6.282 6.282 6.282
angles: 90.00 90.00 90.00
Fractional positions:
1 Rb 0.000 0.000 0.000
2 Rb 0.000 0.500 0.500
3 Rb 0.500 0.000 0.500
4 Rb 0.500 0.500 0.000
5 Re 0.250 0.250 0.250
6 Re 0.250 0.250 0.750
7 Re 0.250 0.750 0.250
8 Re 0.250 0.750 0.750
9 Re 0.750 0.250 0.250
10 Re 0.750 0.250 0.750
11 Re 0.750 0.750 0.250
12 Re 0.750 0.750 0.750
13 H 0.000 0.000 0.500
14 H 0.000 0.500 0.000
15 H 0.500 0.000 0.000
16 H 0.500 0.500 0.500

Energy above the most stable polymorph in this dataset: 1782 meV per atom

=====

No. 12
An optimized crystal structure of RbReSi2H, computed with PBE.

abc: 4.697 4.697 4.532
angles: 90.00 90.00 90.00
Fractional positions:
1 Rb 0.000 0.000 0.000
2 Re 0.500 0.500 0.500
3 Si 0.000 0.500 0.500
4 Si 0.500 0.000 0.500
5 H 0.500 0.500 0.000

Energy: -25.55 eV/cell

=====

Q: Number 5 is which compound?
A: RbReH